Model 1:
Computed, not measured: crystalline Tl2CuBr at its relaxed geometry at the PBE level of DFT.

Values from the calculation:
- space group = Cmm2 (35)
- DOS at the Fermi energy (states/eV per atom) = 0.336

Unit cell a=3.6563 b=3.6563 c=8.7970 alpha=90.00 beta=90.00 gamma=113.04
Last column: nearest neighbours and their distance in Å.
Fractional coordinates of all 4 atoms:
Tl  0.0000  0.0000  0.0000  6 Tl 3.31-3.66, 2 Br 3.47
Tl  0.5000  0.5000  0.2985  2 Cu 2.75
Cu  0.0000  0.0000  0.5117  2 Br 2.50, 2 Tl 2.75
Br  0.5000  0.5000  0.6792  2 Cu 2.50

Model 2:
Computed, not measured: crystalline Tl2CuBr at its relaxed geometry at the PBE level of DFT.

Values from the calculation:
- space group = F-43m (216)
- DOS at the Fermi energy (states/eV per atom) = 0.168

Unit cell a=5.4133 b=5.4133 c=5.4133 alpha=60.00 beta=60.00 gamma=60.00
Last column: nearest neighbours and their distance in Å.
Fractional coordinates of all 4 atoms:
Tl  0.0000  0.0000  0.0000  4 Tl 3.31, 4 Cu 3.31
Tl  0.2500  0.2500  0.2500  4 Tl 3.31, 4 Br 3.31
Cu  0.7500  0.7500  0.7500  4 Br 3.31, 4 Tl 3.31
Br  0.5000  0.5000  0.5000  4 Tl 3.31, 4 Cu 3.31

Stability, highest: model 1

Model 1:
Computed, not measured: crystalline TlCu2Br6 at its relaxed geometry at the PBE level of DFT.

Values from the calculation:
- space group = C2/m (12)
- DOS at the Fermi energy (states/eV per atom) = 0.908

Unit cell a=8.0176 b=8.0176 c=9.8557 alpha=101.23 beta=101.23 gamma=28.64
Last column: nearest neighbours and their distance in Å.
Fractional coordinates of all 9 atoms:
Tl  0.0000  0.0000  0.0000  6 Br 2.82
Cu  0.1979  0.1979  0.3828  4 Br 2.36-2.54
Cu  0.8021  0.8021  0.6172  4 Br 2.36-2.54
Br  0.0453  0.0453  0.2917  1 Cu 2.36
Br  0.2143  0.2143  0.6443  3 Cu 2.45-2.54
Br  0.3734  0.3734  0.0176  2 Tl 2.82
Br  0.6266  0.6266  0.9824  2 Tl 2.82
Br  0.7857  0.7857  0.3557  3 Cu 2.45-2.54
Br  0.9547  0.9547  0.7083  1 Cu 2.36

Model 2:
Computed, not measured: crystalline TlCu2Br6 at its relaxed geometry at the PBE level of DFT.

Values from the calculation:
- space group = C2/c (15)
- DOS at the Fermi energy (states/eV per atom) = 1.079

Unit cell a=10.2234 b=10.2234 c=6.7308 alpha=107.03 beta=107.03 gamma=89.83
Last column: nearest neighbours and their distance in Å.
Fractional coordinates of all 18 atoms:
Tl  0.2006  0.7994  0.7500  4 Br 2.68
Tl  0.7994  0.2006  0.2500  4 Br 2.68
Cu  0.2241  0.3666  0.6575  4 Br 2.38-2.48
Cu  0.3666  0.2241  0.1575  4 Br 2.38-2.48
Cu  0.6334  0.7759  0.8425  4 Br 2.38-2.48
Cu  0.7759  0.6334  0.3425  4 Br 2.38-2.48
Br  0.0196  0.2108  0.5921  1 Cu 2.48, 1 Tl 2.68
Br  0.1784  0.5839  0.8916  1 Cu 2.45, 1 Tl 2.68
Br  0.2108  0.0196  0.0921  1 Cu 2.48, 1 Tl 2.68
Br  0.2590  0.4057  0.3442  2 Cu 2.38
Br  0.4057  0.2590  0.8442  2 Cu 2.38
Br  0.4161  0.8216  0.6084  1 Cu 2.45, 1 Tl 2.68
Br  0.5839  0.1784  0.3916  1 Cu 2.45, 1 Tl 2.68
Br  0.5943  0.7410  0.1558  2 Cu 2.38
Br  0.7410  0.5943  0.6558  2 Cu 2.38
Br  0.7892  0.9804  0.9079  1 Cu 2.48, 1 Tl 2.68
Br  0.8216  0.4161  0.1084  1 Cu 2.45, 1 Tl 2.68
Br  0.9804  0.7892  0.4079  1 Cu 2.48, 1 Tl 2.68

Stability, highest: model 2